Entry P
{
  "formula": "Na4Pb",
  "functional": "PBE",
  "state": "relaxed",
  "sg": "Pm-3m",
  "cell": [[6.018, 0.000, 0.000], [0.000, 6.018, 0.000], [0.000, 0.000, 6.018]],
  "species": ["Na", "Na", "Na", "Na", "Pb"],
  "frac_coords": [[0.000, 0.000, 0.000], [0.000, 0.500, 0.500], [0.500, 0.000, 0.500], [0.500, 0.500, 0.000], [0.500, 0.500, 0.500]]
}

Entry Q
{
  "formula": "Na4Pb",
  "functional": "PBE",
  "state": "relaxed",
  "sg": "P2/c",
  "cell": [[6.700, 0.000, 0.000], [0.000, 10.414, 0.000], [-2.168, 0.000, 4.936]],
  "species": ["Na", "Na", "Na", "Na", "Na", "Na", "Na", "Na", "Pb", "Pb"],
  "frac_coords": [[0.186, 0.146, 0.093], [0.186, 0.854, 0.593], [0.224, 0.388, 0.613], [0.224, 0.612, 0.113], [0.776, 0.388, 0.887], [0.776, 0.612, 0.387], [0.814, 0.146, 0.407], [0.814, 0.854, 0.907], [0.500, 0.108, 0.750], [0.500, 0.892, 0.250]]
}

Q: Which of them is the least stable? A: entry P.

Entry P
{
  "formula": "Na13Pb2",
  "functional": "PBE",
  "state": "relaxed",
  "sg": "R-3m",
  "cell": [[4.696, 2.711, 7.149], [-4.696, 2.711, 7.149], [0.000, -5.423, 7.149]],
  "species": ["Na", "Na", "Na", "Na", "Na", "Na", "Na", "Na", "Na", "Na", "Na", "Na", "Na", "Pb", "Pb"],
  "frac_coords": [[0.000, 0.000, 0.000], [0.121, 0.121, 0.513], [0.121, 0.513, 0.121], [0.303, 0.303, 0.691], [0.303, 0.691, 0.303], [0.309, 0.697, 0.697], [0.487, 0.879, 0.879], [0.513, 0.121, 0.121], [0.691, 0.303, 0.303], [0.697, 0.309, 0.697], [0.697, 0.697, 0.309], [0.879, 0.487, 0.879], [0.879, 0.879, 0.487], [0.140, 0.140, 0.140], [0.860, 0.860, 0.860]]
}

Entry Q
{
  "formula": "Na13Pb2",
  "functional": "PBE",
  "state": "relaxed",
  "sg": "P-1",
  "cell": [[6.310, 0.000, 0.000], [0.544, 9.252, 0.000], [1.407, 3.531, 8.490]],
  "species": ["Na", "Na", "Na", "Na", "Na", "Na", "Na", "Na", "Na", "Na", "Na", "Na", "Na", "Pb", "Pb"],
  "frac_coords": [[0.000, 0.000, 0.000], [0.136, 0.743, 0.498], [0.224, 0.184, 0.200], [0.237, 0.596, 0.930], [0.311, 0.037, 0.646], [0.361, 0.437, 0.386], [0.441, 0.799, 0.133], [0.559, 0.201, 0.867], [0.639, 0.563, 0.614], [0.689, 0.963, 0.354], [0.763, 0.404, 0.070], [0.776, 0.816, 0.800], [0.864, 0.257, 0.502], [0.101, 0.363, 0.756], [0.899, 0.637, 0.244]]
}

Q: Which of them is the least stable? A: entry P.

Entry P
{
  "formula": "Na2Pb7",
  "functional": "PBE",
  "state": "relaxed",
  "sg": "P-31m",
  "cell": [[6.108, 0.000, 0.000], [-3.054, 5.290, 0.000], [0.000, 0.000, 8.560]],
  "species": ["Na", "Na", "Pb", "Pb", "Pb", "Pb", "Pb", "Pb", "Pb"],
  "frac_coords": [[0.333, 0.667, 0.000], [0.667, 0.333, 0.000], [0.000, 0.000, 0.000], [0.000, 0.326, 0.668], [0.000, 0.674, 0.332], [0.326, 0.000, 0.668], [0.326, 0.326, 0.332], [0.674, 0.000, 0.332], [0.674, 0.674, 0.668]]
}

Entry Q
{
  "formula": "Na2Pb7",
  "functional": "PBE",
  "state": "relaxed",
  "sg": "R-3m",
  "cell": [[3.344, 1.930, 16.247], [-3.344, 1.930, 16.247], [0.000, -3.861, 16.247]],
  "species": ["Na", "Na", "Na", "Na", "Pb", "Pb", "Pb", "Pb", "Pb", "Pb", "Pb", "Pb", "Pb", "Pb", "Pb", "Pb", "Pb", "Pb"],
  "frac_coords": [[0.040, 0.040, 0.040], [0.147, 0.147, 0.147], [0.853, 0.853, 0.853], [0.960, 0.960, 0.960], [0.000, 0.500, 0.500], [0.108, 0.617, 0.617], [0.276, 0.276, 0.276], [0.383, 0.383, 0.892], [0.383, 0.892, 0.383], [0.392, 0.392, 0.392], [0.500, 0.000, 0.500], [0.500, 0.500, 0.000], [0.500, 0.500, 0.500], [0.608, 0.608, 0.608], [0.617, 0.108, 0.617], [0.617, 0.617, 0.108], [0.724, 0.724, 0.724], [0.892, 0.383, 0.383]]
}

Q: Which of them is the least stable? A: entry Q.